Entry 1:
Below is a geometry-optimized Tl2CoSb structure, with properties calculated at the PBE level.

uncorrected formation energy	250	meV per atom
calculated volume	212.1	Å³/cell
total DFT energy (no corrections)	-3.7403	eV/atom

Geometry as CIF:
```
data_Tl2CoSb
_cell_length_a 4.830
_cell_length_b 13.151
_cell_length_c 3.339
_cell_angle_alpha 90.00
_cell_angle_beta 90.00
_cell_angle_gamma 90.00
_symmetry_space_group_name_H-M 'C m m m'
_symmetry_Int_Tables_number 65
_symmetry_space_group_name_Hall '-C 2 2'
loop_
_atom_site_label
_atom_site_type_symbol
_atom_site_fract_x
_atom_site_fract_y
_atom_site_fract_z
_atom_site_occupancy
Tl1 Tl 0.000 0.168 0.000 1
Co1 Co 0.000 0.000 0.500 1
Sb1 Sb 0.000 0.500 0.500 1
```

=====

Entry 2:
Below is a geometry-optimized Tl2CoSb structure, with properties calculated at the PBE level.

uncorrected formation energy	169	meV per atom
calculated volume	98.1	Å³/cell
total DFT energy (no corrections)	-3.8207	eV/atom

Geometry as CIF:
```
data_Tl2CoSb
_cell_length_a 3.385
_cell_length_b 3.392
_cell_length_c 8.677
_cell_angle_alpha 90.00
_cell_angle_beta 99.90
_cell_angle_gamma 90.00
_symmetry_space_group_name_H-M 'P 1 m 1'
_symmetry_Int_Tables_number 6
loop_
_symmetry_equiv_pos_as_xyz
'x,y,z'
'x,-y,z'
loop_
_atom_site_label
_atom_site_type_symbol
_atom_site_fract_x
_atom_site_fract_y
_atom_site_fract_z
_atom_site_occupancy
Tl1 Tl 0.000 0.000 0.000 1
Tl2 Tl 0.344 0.500 0.672 1
Co1 Co 0.140 0.500 0.258 1
Sb1 Sb 0.689 0.000 0.369 1
```

=====

Entry 3:
Below is a geometry-optimized Tl2CoSb structure, with properties calculated at the PBE level.

uncorrected formation energy	578	meV per atom
calculated volume	97.7	Å³/cell
total DFT energy (no corrections)	-3.4119	eV/atom

Geometry as CIF:
```
data_Tl2CoSb
_cell_length_a 3.749
_cell_length_b 4.737
_cell_length_c 5.502
_cell_angle_alpha 90.00
_cell_angle_beta 90.00
_cell_angle_gamma 90.00
_symmetry_space_group_name_H-M 'P m m m'
_symmetry_Int_Tables_number 47
loop_
_symmetry_equiv_pos_as_xyz
'x,y,z'
'-x,-y,-z'
'-x,-y,z'
'x,y,-z'
'x,-y,-z'
'-x,y,z'
'-x,y,-z'
'x,-y,z'
loop_
_atom_site_label
_atom_site_type_symbol
_atom_site_fract_x
_atom_site_fract_y
_atom_site_fract_z
_atom_site_occupancy
Tl1 Tl 0.000 0.000 0.000 1
Tl2 Tl 0.500 0.500 0.000 1
Co1 Co 0.000 0.500 0.500 1
Sb1 Sb 0.500 0.000 0.500 1
```

=====

Entry 4:
Below is a geometry-optimized Tl2CoSb structure, with properties calculated at the PBE level.

uncorrected formation energy	155	meV per atom
calculated volume	204.9	Å³/cell
total DFT energy (no corrections)	-3.8353	eV/atom

Geometry as CIF:
```
data_Tl2CoSb
_cell_length_a 8.746
_cell_length_b 3.316
_cell_length_c 7.431
_cell_angle_alpha 90.00
_cell_angle_beta 108.04
_cell_angle_gamma 90.00
_symmetry_space_group_name_H-M 'C 1 m 1'
_symmetry_Int_Tables_number 8
loop_
_symmetry_equiv_pos_as_xyz
'x,y,z'
'x,-y,z'
'x+1/2,y+1/2,z'
'x+1/2,-y+1/2,z'
loop_
_atom_site_label
_atom_site_type_symbol
_atom_site_fract_x
_atom_site_fract_y
_atom_site_fract_z
_atom_site_occupancy
Tl1 Tl 0.000 0.000 0.000 1
Tl2 Tl 0.178 0.000 0.672 1
Co1 Co 0.031 0.500 0.336 1
Sb1 Sb 0.318 0.500 0.337 1
```

=====

Entry 5:
Below is a geometry-optimized Tl2CoSb structure, with properties calculated at the PBE level.

uncorrected formation energy	561	meV per atom
calculated volume	391.3	Å³/cell
total DFT energy (no corrections)	-3.4291	eV/atom

Geometry as CIF:
```
data_Tl2CoSb
_cell_length_a 7.314
_cell_length_b 7.314
_cell_length_c 7.314
_cell_angle_alpha 90.00
_cell_angle_beta 90.00
_cell_angle_gamma 90.00
_symmetry_space_group_name_H-M 'F -4 3 m'
_symmetry_Int_Tables_number 216
_symmetry_space_group_name_Hall 'F -4 2 3'
loop_
_atom_site_label
_atom_site_type_symbol
_atom_site_fract_x
_atom_site_fract_y
_atom_site_fract_z
_atom_site_occupancy
Tl1 Tl 0.000 0.000 0.000 1
Tl2 Tl 0.250 0.250 0.250 1
Co1 Co 0.000 0.000 0.500 1
Sb1 Sb 0.250 0.250 0.750 1
```

=====

Entry 6:
Below is a geometry-optimized TlCo2Sb2 structure, with properties calculated at the PBE level.

uncorrected formation energy	329	meV per atom
calculated volume	209.7	Å³/cell
total DFT energy (no corrections)	-4.6351	eV/atom

Geometry as CIF:
```
data_TlCo2Sb2
_cell_length_a 4.609
_cell_length_b 4.609
_cell_length_c 9.873
_cell_angle_alpha 90.00
_cell_angle_beta 90.00
_cell_angle_gamma 90.00
_symmetry_space_group_name_H-M 'I 4/m m m'
_symmetry_Int_Tables_number 139
_symmetry_space_group_name_Hall '-I 4 2'
loop_
_atom_site_label
_atom_site_type_symbol
_atom_site_fract_x
_atom_site_fract_y
_atom_site_fract_z
_atom_site_occupancy
Tl1 Tl 0.000 0.000 0.000 1
Co1 Co 0.000 0.000 0.381 1
Sb1 Sb 0.000 0.500 0.250 1
```